Version 1
Here is a relaxed Al2BrF crystal from the Alexandria database. Energies are from PBE.

Cell lengths 4.938, 4.938, 15.207 Å; angles 90.00, 90.00, 90.00 degrees
Space group I-42d (No. 122)
Inequivalent atoms, fractional coordinates:
1 Al 0.054 0.250 0.125 [8 per cell]
2 Br 0.000 0.000 0.500 [4 per cell]
3 F 0.000 0.000 0.000 [4 per cell]

DOS at the Fermi energy: 0.000 states/eV/cell
Total magnetic moment: 0.0 μB/f.u.

---

Version 2
Here is a relaxed Al2BrF crystal from the Alexandria database. Energies are from PBE.

Cell lengths 7.030, 7.030, 7.030 Å; angles 90.00, 90.00, 90.00 degrees
Space group Fm-3m (No. 225)
Inequivalent atoms, fractional coordinates:
1 Al 0.250 0.250 0.250 [8 per cell]
2 Br 0.000 0.000 0.000 [4 per cell]
3 F 0.000 0.000 0.500 [4 per cell]

DOS at the Fermi energy: 0.000 states/eV/cell
Total magnetic moment: 0.0 μB/f.u.

---

Structures ranked by computed energy, the most stable listed first: version 1, version 2.

---

Version 1
Here is a relaxed AlBr2F crystal from the Alexandria database. Energies are from PBE.

Cell lengths 9.547, 9.547, 3.711 Å; angles 90.00, 90.00, 90.00 degrees
Space group I-42d (No. 122)
Inequivalent atoms, fractional coordinates:
1 Al 0.000 0.000 0.000 [4 per cell]
2 Br 0.084 0.250 0.125 [8 per cell]
3 F 0.000 0.000 0.500 [4 per cell]

DOS at the Fermi energy: 0.000 states/eV/cell
Total magnetic moment: 0.0 μB/f.u.

---

Version 2
Here is a relaxed AlBr2F crystal from the Alexandria database. Energies are from PBE.

Cell lengths 6.506, 6.506, 6.506 Å; angles 90.00, 90.00, 90.00 degrees
Space group Fm-3m (No. 225)
Inequivalent atoms, fractional coordinates:
1 Al 0.000 0.000 0.000 [4 per cell]
2 Br 0.250 0.250 0.250 [8 per cell]
3 F 0.000 0.000 0.500 [4 per cell]

DOS at the Fermi energy: 2.497 states/eV/cell
Total magnetic moment: 0.0 μB/f.u.

---

Structures ranked by computed energy, the most stable listed first: version 1, version 2.